No. 1
DFT (PBE) results for an optimized crystal structure of Er2Co2B3.

The structure in CIF format:
```
data_Er2Co2B3
_chemical_formula_sum 'Er4 Co4 B6'
_symmetry_space_group_name_H-M 'C 1 2/m 1'
_symmetry_Int_Tables_number 12
_symmetry_space_group_name_Hall '-C 2y'
_cell_length_a 9.4055
_cell_length_b 3.7868
_cell_length_c 5.7084
_cell_angle_alpha 90.00
_cell_angle_beta 112.43
_cell_angle_gamma 90.00
loop_
_atom_site_label
_atom_site_type_symbol
_atom_site_fract_x
_atom_site_fract_y
_atom_site_fract_z
Er1 Er 0.1146 0.0000 0.2959
Co1 Co 0.2042 0.0000 0.8577
B1 B 0.0000 0.5000 0.5000
B2 B 0.1214 0.5000 0.7999
```

Calculated values
E_form = -28 kJ/mol of atoms
calculated volume = 13.42 Å³/atom
density of states at the Fermi level = 7.9 states/eV per cell

No. 2
DFT (PBE) results for an optimized crystal structure of ErCo3B3.

The structure in CIF format:
```
data_ErCo3B3
_chemical_formula_sum 'Er2 Co6 B6'
_symmetry_space_group_name_H-M 'P m -3 n'
_symmetry_Int_Tables_number 223
_symmetry_space_group_name_Hall '-P 4n 2 3'
_cell_length_a 5.4584
_cell_length_b 5.4584
_cell_length_c 5.4584
_cell_angle_alpha 90.00
_cell_angle_beta 90.00
_cell_angle_gamma 90.00
loop_
_atom_site_label
_atom_site_type_symbol
_atom_site_fract_x
_atom_site_fract_y
_atom_site_fract_z
Er1 Er 0.0000 0.0000 0.0000
Co1 Co 0.0000 0.2500 0.5000
B1 B 0.0000 0.5000 0.2500
```

Calculated values
E_form = -18 kJ/mol of atoms
calculated volume = 11.62 Å³/atom
energy relative to the lowest polymorph listed for this composition = 0.000 eV per atom
density of states at the Fermi level = 5.4 states/eV per cell

No. 3
DFT (PBE) results for an optimized crystal structure of Er3Co2B9.

The structure in CIF format:
```
data_Er3Co2B9
_chemical_formula_sum 'Er6 Co4 B18'
_symmetry_space_group_name_H-M 'I m m m'
_symmetry_Int_Tables_number 71
_symmetry_space_group_name_Hall '-I 2 2'
_cell_length_a 3.1410
_cell_length_b 7.3212
_cell_length_c 13.2832
_cell_angle_alpha 90.00
_cell_angle_beta 90.00
_cell_angle_gamma 90.00
loop_
_atom_site_label
_atom_site_type_symbol
_atom_site_fract_x
_atom_site_fract_y
_atom_site_fract_z
Er1 Er 0.0000 0.0000 0.0000
Er2 Er 0.0000 0.0000 0.2652
Co1 Co 0.0000 0.1670 0.5000
B1 B 0.0000 0.2698 0.1226
B2 B 0.0000 0.3141 0.3705
B3 B 0.0000 0.5000 0.0000
```

Calculated values
E_form = -28 kJ/mol of atoms
calculated volume = 10.91 Å³/atom
density of states at the Fermi level = 14.7 states/eV per cell

No. 4
DFT (PBE) results for an optimized crystal structure of ErCo6B4.

The structure in CIF format:
```
data_ErCo6B4
_chemical_formula_sum 'Er1 Co6 B4'
_symmetry_space_group_name_H-M 'P -6 m 2'
_symmetry_Int_Tables_number 187
_symmetry_space_group_name_Hall 'P -6 2'
_cell_length_a 6.1316
_cell_length_b 6.1316
_cell_length_c 3.2504
_cell_angle_alpha 90.00
_cell_angle_beta 90.00
_cell_angle_gamma 120.00
loop_
_atom_site_label
_atom_site_type_symbol
_atom_site_fract_x
_atom_site_fract_y
_atom_site_fract_z
Er1 Er 0.0000 0.0000 0.0000
Co1 Co 0.2029 0.4059 0.5000
Co2 Co 0.5352 0.0704 0.0000
B1 B 0.3333 0.6667 0.0000
B2 B 0.4176 0.2088 0.5000
```

Calculated values
E_form = -29 kJ/mol of atoms
calculated volume = 9.62 Å³/atom
density of states at the Fermi level = 10.2 states/eV per cell

No. 5
DFT (PBE) results for an optimized crystal structure of ErCo4B2.

The structure in CIF format:
```
data_ErCo4B2
_chemical_formula_sum 'Er2 Co8 B4'
_symmetry_space_group_name_H-M 'C m m m'
_symmetry_Int_Tables_number 65
_symmetry_space_group_name_Hall '-C 2 2'
_cell_length_a 3.5127
_cell_length_b 12.4047
_cell_length_c 3.5051
_cell_angle_alpha 90.00
_cell_angle_beta 90.00
_cell_angle_gamma 90.00
loop_
_atom_site_label
_atom_site_type_symbol
_atom_site_fract_x
_atom_site_fract_y
_atom_site_fract_z
Er1 Er 0.0000 0.0000 0.0000
Co1 Co 0.0000 0.1800 0.5000
Co2 Co 0.0000 0.3178 0.0000
B1 B 0.0000 0.4113 0.5000
```

Calculated values
E_form = -32 kJ/mol of atoms
calculated volume = 10.91 Å³/atom
density of states at the Fermi level = 11.5 states/eV per cell

No. 6
DFT (PBE) results for an optimized crystal structure of Er3Co4B.

The structure in CIF format:
```
data_Er3Co4B
_chemical_formula_sum 'Er6 Co8 B2'
_symmetry_space_group_name_H-M 'I m m 2'
_symmetry_Int_Tables_number 44
_symmetry_space_group_name_Hall 'I 2 -2'
_cell_length_a 5.0082
_cell_length_b 6.4445
_cell_length_c 7.7287
_cell_angle_alpha 90.00
_cell_angle_beta 90.00
_cell_angle_gamma 90.00
loop_
_atom_site_label
_atom_site_type_symbol
_atom_site_fract_x
_atom_site_fract_y
_atom_site_fract_z
Er1 Er 0.0000 0.0000 0.0000
Er2 Er 0.0000 0.2364 0.6283
Co1 Co 0.0000 0.3214 0.2803
Co2 Co 0.2449 0.0000 0.3587
B1 B 0.0000 0.5000 0.0600
```

Calculated values
E_form = -15 kJ/mol of atoms
calculated volume = 15.59 Å³/atom
density of states at the Fermi level = 14.2 states/eV per cell

> Which formula does entry 2 have?

ErCo3B3